1.
This record from the Alexandria database describes crystalline Pm2SmY3Er6 at its relaxed geometry. The functional is GGA-PBE. Values from VASP.

Structure (Quantum ESPRESSO input):
```
&SYSTEM
  ibrav = 0, nat = 12, ntyp = 4
/
ATOMIC_SPECIES
Pm 145.00 Pm.upf
Sm 150.36 Sm.upf
Y 88.91 Y.upf
Er 167.26 Er.upf
ATOMIC_POSITIONS crystal
Pm 0.167 0.833 0.000
Pm 0.833 0.167 0.000
Sm 0.500 0.500 0.000
Y 0.000 0.000 0.500
Y 0.333 0.667 0.500
Y 0.667 0.333 0.500
Er 0.083 0.416 0.749
Er 0.251 0.251 0.251
Er 0.416 0.083 0.749
Er 0.584 0.917 0.251
Er 0.749 0.749 0.749
Er 0.917 0.584 0.251
CELL_PARAMETERS angstrom
3.084 -5.338 0.000
3.084 5.338 0.000
-2.051 0.000 11.582
```

Summary:
Energy: -5.06 eV per atom
ρ: 7.4 g/cm³
Total magnetic moment: 0.00 μB per formula unit
D(E_F): 16.8 states/eV/f.u.
Formation energy: 0.022 eV per atom



2.
This record from the Alexandria database describes crystalline PmSm6YEr2 at its relaxed geometry. The functional is GGA-PBE. Values from VASP.

Structure (Quantum ESPRESSO input):
```
&SYSTEM
  ibrav = 0, nat = 20, ntyp = 4
/
ATOMIC_SPECIES
Pm 145.00 Pm.upf
Sm 150.36 Sm.upf
Y 88.91 Y.upf
Er 167.26 Er.upf
ATOMIC_POSITIONS crystal
Pm 0.092 0.908 0.750
Pm 0.908 0.092 0.250
Sm 0.006 0.792 0.380
Sm 0.066 0.519 0.184
Sm 0.208 0.994 0.120
Sm 0.257 0.617 0.554
Sm 0.383 0.743 0.946
Sm 0.481 0.934 0.316
Sm 0.519 0.066 0.684
Sm 0.617 0.257 0.054
Sm 0.743 0.383 0.446
Sm 0.792 0.006 0.880
Sm 0.934 0.481 0.816
Sm 0.994 0.208 0.620
Y 0.473 0.527 0.250
Y 0.527 0.473 0.750
Er 0.202 0.304 0.955
Er 0.304 0.202 0.455
Er 0.696 0.798 0.545
Er 0.798 0.696 0.045
CELL_PARAMETERS angstrom
4.590 -7.621 0.000
4.590 7.621 0.000
-1.284 0.000 9.580
```

Summary:
Energy: -4.75 eV per atom
ρ: 7.3 g/cm³
Total magnetic moment: 0.00 μB per formula unit
D(E_F): 14.8 states/eV/f.u.
Formation energy: 0.117 eV per atom



3.
This record from the Alexandria database describes crystalline Pm2SmY6Er3 at its relaxed geometry. The functional is GGA-PBE. Values from VASP.

Structure (Quantum ESPRESSO input):
```
&SYSTEM
  ibrav = 0, nat = 12, ntyp = 4
/
ATOMIC_SPECIES
Pm 145.00 Pm.upf
Sm 150.36 Sm.upf
Y 88.91 Y.upf
Er 167.26 Er.upf
ATOMIC_POSITIONS crystal
Pm 0.167 0.833 0.000
Pm 0.833 0.167 0.000
Sm 0.500 0.500 0.000
Y 0.082 0.415 0.747
Y 0.251 0.251 0.253
Y 0.415 0.082 0.747
Y 0.585 0.918 0.253
Y 0.749 0.749 0.747
Y 0.918 0.585 0.253
Er 0.000 0.000 0.500
Er 0.333 0.667 0.500
Er 0.667 0.333 0.500
CELL_PARAMETERS angstrom
3.098 -5.361 0.000
3.098 5.361 0.000
-2.057 0.000 11.645
```

Summary:
Energy: -5.54 eV per atom
ρ: 6.3 g/cm³
Total magnetic moment: 0.00 μB per formula unit
D(E_F): 17.3 states/eV/f.u.
Formation energy: 0.021 eV per atom



4.
This record from the Alexandria database describes crystalline Pm6Sm3YEr2 at its relaxed geometry. The functional is GGA-PBE. Values from VASP.

Structure (Quantum ESPRESSO input):
```
&SYSTEM
  ibrav = 0, nat = 12, ntyp = 4
/
ATOMIC_SPECIES
Pm 145.00 Pm.upf
Sm 150.36 Sm.upf
Y 88.91 Y.upf
Er 167.26 Er.upf
ATOMIC_POSITIONS crystal
Pm 0.083 0.417 0.753
Pm 0.249 0.249 0.247
Pm 0.417 0.083 0.753
Pm 0.583 0.917 0.247
Pm 0.751 0.751 0.753
Pm 0.917 0.583 0.247
Sm 0.000 0.000 0.500
Sm 0.333 0.667 0.500
Sm 0.667 0.333 0.500
Y 0.500 0.500 0.000
Er 0.167 0.833 0.000
Er 0.833 0.167 0.000
CELL_PARAMETERS angstrom
3.136 -5.432 0.000
3.136 5.432 0.000
-2.087 0.000 11.753
```

Summary:
Energy: -4.84 eV per atom
ρ: 7.2 g/cm³
Total magnetic moment: 0.00 μB per formula unit
D(E_F): 15.4 states/eV/f.u.
Formation energy: 0.014 eV per atom



Please write out number 1 again, unchanged.
This record from the Alexandria database describes crystalline Pm2SmY3Er6 at its relaxed geometry. The functional is GGA-PBE. Values from VASP.

Structure (Quantum ESPRESSO input):
```
&SYSTEM
  ibrav = 0, nat = 12, ntyp = 4
/
ATOMIC_SPECIES
Pm 145.00 Pm.upf
Sm 150.36 Sm.upf
Y 88.91 Y.upf
Er 167.26 Er.upf
ATOMIC_POSITIONS crystal
Pm 0.167 0.833 0.000
Pm 0.833 0.167 0.000
Sm 0.500 0.500 0.000
Y 0.000 0.000 0.500
Y 0.333 0.667 0.500
Y 0.667 0.333 0.500
Er 0.083 0.416 0.749
Er 0.251 0.251 0.251
Er 0.416 0.083 0.749
Er 0.584 0.917 0.251
Er 0.749 0.749 0.749
Er 0.917 0.584 0.251
CELL_PARAMETERS angstrom
3.084 -5.338 0.000
3.084 5.338 0.000
-2.051 0.000 11.582
```

Summary:
Energy: -5.06 eV per atom
ρ: 7.4 g/cm³
Total magnetic moment: 0.00 μB per formula unit
D(E_F): 16.8 states/eV/f.u.
Formation energy: 0.022 eV per atom



Among the records above, which one has the highest D(E_F)? Pm2SmY6Er3



Repeat the first record exactly.
This record from the Alexandria database describes crystalline Pm2SmY3Er6 at its relaxed geometry. The functional is GGA-PBE. Values from VASP.

Structure (Quantum ESPRESSO input):
```
&SYSTEM
  ibrav = 0, nat = 12, ntyp = 4
/
ATOMIC_SPECIES
Pm 145.00 Pm.upf
Sm 150.36 Sm.upf
Y 88.91 Y.upf
Er 167.26 Er.upf
ATOMIC_POSITIONS crystal
Pm 0.167 0.833 0.000
Pm 0.833 0.167 0.000
Sm 0.500 0.500 0.000
Y 0.000 0.000 0.500
Y 0.333 0.667 0.500
Y 0.667 0.333 0.500
Er 0.083 0.416 0.749
Er 0.251 0.251 0.251
Er 0.416 0.083 0.749
Er 0.584 0.917 0.251
Er 0.749 0.749 0.749
Er 0.917 0.584 0.251
CELL_PARAMETERS angstrom
3.084 -5.338 0.000
3.084 5.338 0.000
-2.051 0.000 11.582
```

Summary:
Energy: -5.06 eV per atom
ρ: 7.4 g/cm³
Total magnetic moment: 0.00 μB per formula unit
D(E_F): 16.8 states/eV/f.u.
Formation energy: 0.022 eV per atom